ErV2B6: optimized geometry, PBE-GGA.

Structure (extended XYZ):
```
9
Lattice="5.3311 0.0000 0.0000 -2.6655 4.6168 0.0000 0.0000 0.0000 3.3234" Properties=species:S:1:pos:R:3 pbc="T T T"
Er 0.0000 0.0000 0.0000
V 0.0000 3.0779 0.0000
V 2.6655 1.5389 0.0000
B -0.9105 1.5771 1.6617
B -1.7550 3.0398 1.6617
B 1.8210 0.0000 1.6617
B 0.9105 1.5771 1.6617
B 3.5100 0.0000 1.6617
B 1.7550 3.0398 1.6617
```

Results
space-group type = No. 191
energy of formation from the pure elements = -0.62 eV per atom


RbSb12Au7: optimized geometry, PBE-GGA.

Structure (extended XYZ):
```
20
Lattice="7.2211 0.0000 0.0000 -0.5886 8.1585 0.0000 -0.5084 -0.9191 10.2832" Properties=species:S:1:pos:R:3 pbc="T T T"
Rb 0.0000 0.0000 0.0000
Sb 0.0768 5.0104 6.5471
Sb 0.5392 6.7278 3.9560
Sb 1.4150 4.5748 2.2056
Sb 1.4175 2.4596 5.5403
Sb 2.1664 4.5326 9.9129
Sb 3.3562 0.1036 2.6958
Sb 2.7679 7.1358 7.5874
Sb 3.9576 2.7068 0.3704
Sb 4.7066 4.7798 4.7430
Sb 4.7090 2.6646 8.0776
Sb 5.5849 0.5116 6.3272
Sb 6.0473 2.2290 3.7361
Au -0.2875 3.7581 9.0659
Au 0.9755 -0.0651 6.7764
Au 3.1105 2.7551 3.3453
Au 3.6105 0.0000 0.0000
Au 3.0136 4.4843 6.9379
Au 5.1486 7.3045 3.5068
Au 6.4116 3.4813 1.2173
```

Results
formation energy (no corrections) = -4.43 kJ/mol of atoms
space-group type = No. 2


Y2BiP: optimized geometry, PBE-GGA.

Structure (extended XYZ):
```
12
Lattice="4.1756 0.0000 0.0000 -2.0878 3.6162 0.0000 0.0000 0.0000 21.4061" Properties=species:S:1:pos:R:3 pbc="T T T"
Y 0.0000 0.0000 5.1156
Y 0.0000 0.0000 16.2905
Y 0.0000 2.4108 9.1551
Y 0.0000 2.4108 19.3864
Y 2.0878 1.2054 2.0198
Y 2.0878 1.2054 12.2510
Bi 0.0000 0.0000 0.0000
Bi 0.0000 2.4108 14.2708
Bi 2.0878 1.2054 7.1354
P 0.0000 0.0000 10.7031
P 0.0000 2.4108 3.5677
P 2.0878 1.2054 17.8384
```

Results
space-group type = No. 166
energy of formation from the pure elements = -1.22 eV per atom